# Rb4Pd4Pt PBE relaxed
data_Rb4Pd4Pt
_space_group_name_H-M_alt 'P 42/n'
_space_group_IT_number 86
_cell_length_a 9.4627
_cell_length_b 9.4627
_cell_length_c 6.4804
_cell_angle_alpha 90.00
_cell_angle_beta 90.00
_cell_angle_gamma 90.00
loop_
_space_group_symop_operation_xyz
'x,y,z'
'-x,-y,-z'
'-y,x+1/2,z+1/2'
'y,-x+1/2,-z+1/2'
'-x+1/2,-y+1/2,z'
'x+1/2,y+1/2,-z'
'y+1/2,-x,z+1/2'
'-y+1/2,x,-z+1/2'
loop_
_atom_site_label
_atom_site_fract_x
_atom_site_fract_y
_atom_site_fract_z
Rb1 0.0642 0.8500 0.1435
Pd1 0.1242 0.1789 0.3997
Pt1 0.2500 0.2500 0.7500
# V ... 580.27 Å³/cell
# Energy of formation from the pure elements ... 0.182 eV per atom
# Total magnetic moment ... 0.00 μB per formula unit

# RbPdPt PBE relaxed
data_RbPdPt
_space_group_name_H-M_alt 'C 1 2/m 1'
_space_group_IT_number 12
_cell_length_a 12.6151
_cell_length_b 4.4724
_cell_length_c 6.6516
_cell_angle_alpha 90.00
_cell_angle_beta 118.77
_cell_angle_gamma 90.00
loop_
_space_group_symop_operation_xyz
'x,y,z'
'-x,-y,-z'
'-x,y,-z'
'x,-y,z'
'x+1/2,y+1/2,z'
'-x+1/2,-y+1/2,-z'
'-x+1/2,y+1/2,-z'
'x+1/2,-y+1/2,z'
loop_
_atom_site_label
_atom_site_fract_x
_atom_site_fract_y
_atom_site_fract_z
Rb1 0.1169 0.0000 0.2919
Pd1 0.0930 0.5000 0.7001
Pt1 0.2078 0.0000 0.8853
# V ... 328.95 Å³/cell
# Energy of formation from the pure elements ... 0.059 eV per atom
# Total magnetic moment ... 0.00 μB per formula unit

# RbPdPt3 PBE relaxed
data_RbPdPt3
_space_group_name_H-M_alt 'P m -3 m'
_space_group_IT_number 221
_space_group_name_Hall '-P 4 2 3'
_cell_length_a 4.9955
_cell_length_b 4.9955
_cell_length_c 4.9955
_cell_angle_alpha 90.00
_cell_angle_beta 90.00
_cell_angle_gamma 90.00
loop_
_atom_site_label
_atom_site_fract_x
_atom_site_fract_y
_atom_site_fract_z
Rb1 0.0000 0.0000 0.0000
Pd1 0.5000 0.5000 0.5000
Pt1 0.0000 0.5000 0.5000
# V ... 124.66 Å³/cell
# Energy of formation from the pure elements ... 0.879 eV per atom
# Total magnetic moment ... 0.00 μB per formula unit

# RbPdPtS2 PBE relaxed
data_RbPdPtS2
_space_group_name_H-M_alt 'C m m e'
_space_group_IT_number 67
_space_group_name_Hall '-C 2a 2'
_cell_length_a 6.9673
_cell_length_b 12.2524
_cell_length_c 7.5290
_cell_angle_alpha 90.00
_cell_angle_beta 90.00
_cell_angle_gamma 90.00
loop_
_atom_site_label
_atom_site_fract_x
_atom_site_fract_y
_atom_site_fract_z
Rb1 0.0000 0.2500 0.2419
Pd1 0.0000 0.0000 0.5000
Pt1 0.2500 0.0000 0.0000
S1 0.0000 0.0154 0.7979
# V ... 642.72 Å³/cell
# Total magnetic moment ... 0.00 μB per formula unit
# Raw total energy ... -4.55 eV per atom

# RbSbPd2Pt PBE relaxed
data_RbSbPd2Pt
_space_group_name_H-M_alt 'P 4/m m m'
_space_group_IT_number 123
_space_group_name_Hall '-P 4 2'
_cell_length_a 4.9617
_cell_length_b 4.9617
_cell_length_c 6.3776
_cell_angle_alpha 90.00
_cell_angle_beta 90.00
_cell_angle_gamma 90.00
loop_
_atom_site_label
_atom_site_fract_x
_atom_site_fract_y
_atom_site_fract_z
Rb1 0.0000 0.0000 0.0000
Sb1 0.0000 0.0000 0.5000
Pd1 0.0000 0.5000 0.5000
Pt1 0.5000 0.5000 0.0000
# V ... 157.00 Å³/cell
# Total magnetic moment ... 0.00 μB per formula unit
# Raw total energy ... -3.45 eV per atom

# RbSiPdPt PBE relaxed
data_RbSiPdPt
_space_group_name_H-M_alt 'C 1 m 1'
_space_group_IT_number 8
_cell_length_a 7.2501
_cell_length_b 4.1869
_cell_length_c 6.9469
_cell_angle_alpha 90.00
_cell_angle_beta 90.15
_cell_angle_gamma 90.00
loop_
_space_group_symop_operation_xyz
'x,y,z'
'x,-y,z'
'x+1/2,y+1/2,z'
'x+1/2,-y+1/2,z'
loop_
_atom_site_label
_atom_site_fract_x
_atom_site_fract_y
_atom_site_fract_z
Rb1 0.0000 0.0000 0.0000
Si1 0.1659 0.5000 0.5694
Pd1 0.4989 0.5000 0.4653
Pt1 0.3327 0.0000 0.6340
# V ... 210.87 Å³/cell
# Total magnetic moment ... 0.00 μB per formula unit
# Raw total energy ... -4.76 eV per atom

# RbSn2PdPt PBE relaxed
data_RbSn2PdPt
_space_group_name_H-M_alt 'P 4/m m m'
_space_group_IT_number 123
_space_group_name_Hall '-P 4 2'
_cell_length_a 5.9042
_cell_length_b 5.9042
_cell_length_c 4.9025
_cell_angle_alpha 90.00
_cell_angle_beta 90.00
_cell_angle_gamma 90.00
loop_
_atom_site_label
_atom_site_fract_x
_atom_site_fract_y
_atom_site_fract_z
Rb1 0.0000 0.0000 0.0000
Sn1 0.0000 0.5000 0.0000
Pd1 0.0000 0.0000 0.5000
Pt1 0.5000 0.5000 0.5000
# V ... 170.90 Å³/cell
# Energy of formation from the pure elements ... 1.720 eV per atom
# Total magnetic moment ... 0.00 μB per formula unit

# RbSnPdPt2 PBE relaxed
data_RbSnPdPt2
_space_group_name_H-M_alt 'P 4/m m m'
_space_group_IT_number 123
_space_group_name_Hall '-P 4 2'
_cell_length_a 5.2124
_cell_length_b 5.2124
_cell_length_c 4.9533
_cell_angle_alpha 90.00
_cell_angle_beta 90.00
_cell_angle_gamma 90.00
loop_
_atom_site_label
_atom_site_fract_x
_atom_site_fract_y
_atom_site_fract_z
Rb1 0.0000 0.0000 0.0000
Sn1 0.5000 0.5000 0.5000
Pd1 0.0000 0.0000 0.5000
Pt1 0.0000 0.5000 0.0000
# V ... 134.58 Å³/cell
# Energy of formation from the pure elements ... 1.628 eV per atom
# Total magnetic moment ... 0.00 μB per formula unit

# Rb2Tl2PdPt PBE relaxed
data_Rb2Tl2PdPt
_space_group_name_H-M_alt 'I b a m'
_space_group_IT_number 72
_space_group_name_Hall '-I 2 2c'
_cell_length_a 6.5595
_cell_length_b 16.6500
_cell_length_c 7.1123
_cell_angle_alpha 90.00
_cell_angle_beta 90.00
_cell_angle_gamma 90.00
loop_
_atom_site_label
_atom_site_fract_x
_atom_site_fract_y
_atom_site_fract_z
Rb1 0.2504 0.1616 0.0000
Tl1 0.2476 0.0877 0.5000
Pd1 0.0000 0.5000 0.2500
Pt1 0.0000 0.0000 0.2500
# V ... 776.77 Å³/cell
# Energy of formation from the pure elements ... -0.148 eV per atom
# Total magnetic moment ... 0.00 μB per formula unit

# RePdPt PBE relaxed
data_RePdPt
_space_group_name_H-M_alt 'C 1 m 1'
_space_group_IT_number 8
_cell_length_a 8.8982
_cell_length_b 3.8581
_cell_length_c 5.6030
_cell_angle_alpha 90.00
_cell_angle_beta 108.05
_cell_angle_gamma 90.00
loop_
_space_group_symop_operation_xyz
'x,y,z'
'x,-y,z'
'x+1/2,y+1/2,z'
'x+1/2,-y+1/2,z'
loop_
_atom_site_label
_atom_site_fract_x
_atom_site_fract_y
_atom_site_fract_z
Re1 0.0000 0.0000 0.0000
Re2 0.1405 0.5000 0.8398
Pd1 0.3162 0.0000 0.1649
Pd2 0.4919 0.5000 0.5068
Pt1 0.1453 0.5000 0.3333
Pt2 0.3236 0.0000 0.6841
# V ... 182.89 Å³/cell
# Energy of formation from the pure elements ... -0.034 eV per atom
# Total magnetic moment ... 0.00 μB per formula unit

# RePdPt6 PBE relaxed
data_RePdPt6
_space_group_name_H-M_alt 'P 4/m m m'
_space_group_IT_number 123
_space_group_name_Hall '-P 4 2'
_cell_length_a 3.9601
_cell_length_b 3.9601
_cell_length_c 7.8779
_cell_angle_alpha 90.00
_cell_angle_beta 90.00
_cell_angle_gamma 90.00
loop_
_atom_site_label
_atom_site_fract_x
_atom_site_fract_y
_atom_site_fract_z
Re1 0.0000 0.0000 0.0000
Pd1 0.0000 0.0000 0.5000
Pt1 0.0000 0.5000 0.2426
Pt2 0.5000 0.5000 0.0000
Pt3 0.5000 0.5000 0.5000
# V ... 123.55 Å³/cell
# Energy of formation from the pure elements ... -0.068 eV per atom
# Total magnetic moment ... 0.00 μB per formula unit

# RePdPt2 PBE relaxed
data_RePdPt2
_space_group_name_H-M_alt 'P 4/m m m'
_space_group_IT_number 123
_space_group_name_Hall '-P 4 2'
_cell_length_a 2.7732
_cell_length_b 2.7732
_cell_length_c 7.9491
_cell_angle_alpha 90.00
_cell_angle_beta 90.00
_cell_angle_gamma 90.00
loop_
_atom_site_label
_atom_site_fract_x
_atom_site_fract_y
_atom_site_fract_z
Re1 0.0000 0.0000 0.0000
Pd1 0.0000 0.0000 0.5000
Pt1 0.5000 0.5000 0.2385
# V ... 61.13 Å³/cell
# Energy of formation from the pure elements ... -0.150 eV per atom
# Total magnetic moment ... 0.00 μB per formula unit

Q: total magnetic moment of number 1 (Rb4Pd4Pt)?
A: 0.00 μB per formula unit